An optimized crystal structure of CaLa2Sb2. Source: the Alexandria database, functional PBEsol.

Cell and atoms, written as extended XYZ:
```
10
Lattice="4.643 0.000 0.000 0.000 4.643 0.000 0.000 0.000 14.803" Properties=species:S:1:pos:R:3 pbc="T T T"
Ca 0.000 0.000 0.000
Ca 2.322 2.322 7.402
La 0.000 2.322 3.701
La 0.000 2.322 11.102
La 2.322 0.000 3.701
La 2.322 0.000 11.102
Sb 0.000 0.000 5.922
Sb 0.000 0.000 8.881
Sb 2.322 2.322 1.480
Sb 2.322 2.322 13.323
```

- energy above the most stable polymorph in this dataset (meV per atom) = 407
- crystal system = tetragonal
- formation energy (no corrections) (meV per atom) = -685
- SG = I4/mmm (139)